VASP calculation (PBE) on crystalline Ba12Tl5Cd2 at its relaxed geometry.

Results
electronic total energy = -40.4 eV/f.u.
energy of formation = -3.7 eV per formula unit
total magnetic moment = 0.00 μB/f.u.

Cell lengths 19.001, 8.745, 11.519 Å; angles 90.00, 99.39, 90.00 degrees
Space group C2/m (No. 12)
Symmetry-distinct sites (fractional):
Ba: 0.015 0.000 0.286 (multiplicity 4)
Ba: 0.053 0.500 0.826 (multiplicity 4)
Ba: 0.149 0.251 0.568 (multiplicity 8)
Ba: 0.185 0.248 0.123 (multiplicity 8)
Tl: 0.000 0.500 0.500 (multiplicity 2)
Tl: 0.159 0.000 0.865 (multiplicity 4)
Tl: 0.204 0.000 0.361 (multiplicity 4)
Cd: 0.000 0.175 0.000 (multiplicity 4)



VASP calculation (PBE) on crystalline BaTlCd3 at its relaxed geometry.

Results
electronic total energy = -4.2 eV/f.u.
energy of formation = 2.9 eV per formula unit
total magnetic moment = 0.00 μB/f.u.

Cell lengths 6.457, 6.457, 6.457 Å; angles 90.00, 90.00, 90.00 degrees
Space group Pm-3m (No. 221)
Symmetry-distinct sites (fractional):
Ba: 0.000 0.000 0.000 (multiplicity 1)
Tl: 0.500 0.500 0.500 (multiplicity 1)
Cd: 0.000 0.000 0.500 (multiplicity 3)



VASP calculation (PBE) on crystalline Ba2TlCd at its relaxed geometry.

Results
electronic total energy = -8.3 eV/f.u.
energy of formation = -1.2 eV per formula unit
total magnetic moment = 0.00 μB/f.u.

Cell lengths 13.609, 4.140, 5.988 Å; angles 90.00, 115.20, 90.00 degrees
Space group Cm (No. 8)
Symmetry-distinct sites (fractional):
Ba: 0.000 0.000 0.000 (multiplicity 2)
Ba: 0.194 0.000 0.687 (multiplicity 2)
Tl: 0.436 0.000 0.440 (multiplicity 2)
Cd: 0.251 0.500 0.241 (multiplicity 2)



> Which value of total magnetic moment does entry 2 give?

0.00 μB/f.u.